Entry 1:
This record from Alexandria describes a relaxed structure of CdH8Pt2. The functional is GGA-PBE.

Properties
SG = C2/m
E_tot = -38.711 eV for the cell shown
magnetization = 0.0000 μB per atom

Cell: 3.732 3.732 7.747 Å, 105.00 105.00 91.78°
Fractional coordinates of all 11 atoms:
Cd1 0.000 0.000 0.000
H1 0.632 0.193 0.707
H2 0.807 0.368 0.293
H3 0.818 0.818 0.516
H4 0.182 0.182 0.484
H5 0.193 0.632 0.707
H6 0.368 0.807 0.293
H7 0.662 0.662 0.075
H8 0.338 0.338 0.925
Pt1 0.837 0.837 0.299
Pt2 0.163 0.163 0.701

---

Entry 2:
This record from Alexandria describes a relaxed structure of TbPa2Se5. The functional is GGA-PBE.

Properties
SG = I4/mcm
excess energy over the best structure of this formula in the dataset = 0.0250 eV per atom
magnetization = 0.3716 μB per atom

Cell: 7.627 7.627 8.583 Å, 116.38 116.38 90.00°
Fractional coordinates of all 16 atoms:
Tb1 0.750 0.750 0.500
Tb2 0.250 0.250 0.500
Pa1 0.148 0.352 0.000
Pa2 0.648 0.148 0.000
Pa3 0.352 0.852 0.000
Pa4 0.852 0.648 0.000
Se1 0.512 0.692 0.704
Se2 0.808 0.988 0.296
Se3 0.000 0.000 0.000
Se4 0.500 0.500 0.000
Se5 0.192 0.012 0.704
Se6 0.692 0.192 0.704
Se7 0.012 0.512 0.704
Se8 0.308 0.808 0.296
Se9 0.988 0.488 0.296
Se10 0.488 0.308 0.296

---

Entry 3:
This record from Alexandria describes a relaxed structure of La3Pr6Tm2Mg. The functional is GGA-PBE.

Properties
SG = C2/m
ΔE_f = 0.03 eV per atom
magnetization = 0.0000 μB per atom

Cell: 6.357 6.357 11.987 Å, 95.11 95.11 120.09°
Fractional coordinates of all 12 atoms:
La1 0.168 0.832 0.500
La2 0.832 0.168 0.500
La3 0.500 0.500 0.500
Pr1 0.921 0.589 0.759
Pr2 0.748 0.748 0.242
Pr3 0.079 0.411 0.241
Pr4 0.589 0.921 0.759
Pr5 0.252 0.252 0.758
Pr6 0.411 0.079 0.241
Tm1 0.334 0.666 0.000
Tm2 0.666 0.334 0.000
Mg1 0.000 0.000 0.000

---

Entry 4:
This record from Alexandria describes a relaxed structure of SiSn2O. The functional is GGA-PBE.

Properties
SG = Fm-3m
excess energy over the best structure of this formula in the dataset = 0.3259 eV per atom
magnetization = 0.0000 μB per atom

Cell: 4.660 4.660 4.660 Å, 60.00 60.00 60.00°
Fractional coordinates of all 4 atoms:
Si1 0.500 0.500 0.500
Sn1 0.250 0.250 0.250
Sn2 0.750 0.750 0.750
O1 0.000 0.000 0.000